1.
La2SmHoTm4 | PBE | optimized geometry

Lattice parameters (Å, degrees): 7.154 7.154 12.305 106.86 106.86 60.04
Atoms (fractional coordinates):
La 0.000 0.000 0.000
La 0.000 0.000 0.500
La 0.000 0.500 0.000
La 0.500 0.000 0.000
Sm 0.500 0.500 0.000
Sm 0.500 0.500 0.500
Ho 0.000 0.500 0.500
Ho 0.500 0.000 0.500
Tm 0.250 0.250 0.747
Tm 0.250 0.748 0.747
Tm 0.251 0.251 0.253
Tm 0.252 0.750 0.253
Tm 0.748 0.250 0.747
Tm 0.749 0.749 0.747
Tm 0.750 0.252 0.253
Tm 0.750 0.750 0.253

Calculated values
* SG: C2/m


2.
La4Sm2HoTm2 | PBE | optimized geometry

Lattice parameters (Å, degrees): 8.174 8.174 8.071 107.61 107.61 36.95
Atoms (fractional coordinates):
La 0.054 0.054 0.327
La 0.276 0.276 0.670
La 0.724 0.724 0.330
La 0.946 0.946 0.673
Sm 0.388 0.388 0.329
Sm 0.612 0.612 0.671
Ho 0.500 0.500 0.000
Tm 0.168 0.168 0.000
Tm 0.832 0.832 0.000

Calculated values
* SG: C2/m


3.
La4Sm2HoTm | PBE | optimized geometry

Lattice parameters (Å, degrees): 5.213 5.249 10.088 90.00 90.00 90.00
Atoms (fractional coordinates):
La 0.000 0.000 0.249
La 0.000 0.000 0.751
La 0.500 0.500 0.250
La 0.500 0.500 0.750
Sm 0.000 0.500 0.000
Sm 0.500 0.000 0.500
Ho 0.000 0.500 0.500
Tm 0.500 0.000 0.000

Calculated values
* SG: Pmmm


4.
LaSm3Ho2Tm6 | PBE | optimized geometry

Lattice parameters (Å, degrees): 6.157 6.157 11.711 95.02 95.02 119.98
Atoms (fractional coordinates):
La 0.000 0.000 0.000
Sm 0.167 0.833 0.500
Sm 0.500 0.500 0.500
Sm 0.833 0.167 0.500
Ho 0.333 0.667 0.000
Ho 0.667 0.333 0.000
Tm 0.084 0.418 0.250
Tm 0.251 0.251 0.750
Tm 0.418 0.084 0.250
Tm 0.582 0.916 0.750
Tm 0.749 0.749 0.250
Tm 0.916 0.582 0.750

Calculated values
* SG: C2/m


5.
La2SmHo2Tm2 | PBE | optimized geometry

Lattice parameters (Å, degrees): 6.041 6.041 11.903 101.11 101.11 33.61
Atoms (fractional coordinates):
La 0.090 0.090 0.282
La 0.910 0.910 0.718
Sm 0.500 0.500 0.000
Ho 0.205 0.205 0.871
Ho 0.795 0.795 0.129
Tm 0.155 0.155 0.571
Tm 0.845 0.845 0.429

Calculated values
* SG: C2/m


6.
LaSm2Ho2Tm2 | PBE | optimized geometry

Lattice parameters (Å, degrees): 6.055 6.055 11.832 101.51 101.51 33.38
Atoms (fractional coordinates):
La 0.000 0.000 0.000
Sm 0.296 0.296 0.134
Sm 0.704 0.704 0.866
Ho 0.408 0.408 0.721
Ho 0.592 0.592 0.279
Tm 0.342 0.342 0.428
Tm 0.658 0.658 0.572

Calculated values
* SG: C2/m


What did we get for spin magnetization? Answer: 0.00 0.00 0.00 0.00 0.00 0.17 μB/cell, in the order shown.
What did we get for E_form? Answer: 0.0240 0.0326 0.0180 0.0224 0.1603 0.1751 eV/atom, in the order shown.